Computed, not measured: Ti3BeSn after structural relaxation at the GGA-PBE level of DFT.

* E: -4.934 eV/atom
* magnetic moment: 0.065 μB per cell

Lattice parameters (Å, degrees): 4.9859 4.9859 4.9859 90.00 90.00 90.00
Fractional positions:
Ti (0.0000, 0.0000, 0.5000)
Ti (0.0000, 0.5000, 0.0000)
Ti (0.5000, 0.0000, 0.0000)
Be (0.5000, 0.5000, 0.5000)
Sn (0.0000, 0.0000, 0.0000)

***

Computed, not measured: BaCdN2F after structural relaxation at the GGA-PBE level of DFT.

* E: -4.407 eV/atom
* magnetic moment: 2.489 μB per cell

Lattice parameters (Å, degrees): 4.3182 4.3182 4.7690 90.00 90.00 90.00
Fractional positions:
Ba (0.0000, 0.0000, 0.0000)
Cd (0.5000, 0.5000, 0.5000)
N (0.0000, 0.5000, 0.5000)
N (0.5000, 0.0000, 0.5000)
F (0.5000, 0.5000, 0.0000)

***

Computed, not measured: KSb2As after structural relaxation at the GGA-PBE level of DFT.

* E: -3.358 eV/atom
* magnetic moment: 0.000 μB per cell

Lattice parameters (Å, degrees): 6.1627 6.1627 6.1627 136.41 136.41 63.35
Fractional positions:
K (0.0000, 0.0000, 0.0000)
Sb (0.2500, 0.7500, 0.5000)
Sb (0.7500, 0.2500, 0.5000)
As (0.5000, 0.5000, 0.0000)

***

Computed, not measured: PPt2Cl after structural relaxation at the GGA-PBE level of DFT.

* E: -4.408 eV/atom
* magnetic moment: 0.000 μB per cell

Lattice parameters (Å, degrees): 2.8821 3.9590 6.7734 90.00 90.00 90.00
Fractional positions:
P (0.0000, 0.0000, 0.0000)
Pt (0.0000, 0.5000, 0.5000)
Pt (0.5000, 0.5000, 0.0000)
Cl (0.5000, 0.0000, 0.5000)

***

Computed, not measured: Li3Sb3P4O16 after structural relaxation at the GGA-PBE level of DFT.

* E: -6.582 eV/atom
* magnetic moment: 0.000 μB per cell

Lattice parameters (Å, degrees): 6.9543 11.1618 9.2994 90.00 107.90 90.00
Fractional positions:
Li (0.0819, 0.0000, 0.1580)
Li (0.1999, 0.6956, 0.4131)
Li (0.3466, 0.9056, 0.5813)
Li (0.6534, 0.4056, 0.4187)
Li (0.8001, 0.1956, 0.5869)
Li (0.9181, 0.5000, 0.8420)
Sb (0.0706, 0.4236, 0.2175)
Sb (0.3627, 0.6296, 0.8326)
Sb (0.3709, 0.1893, 0.7403)
Sb (0.6291, 0.6893, 0.2597)
Sb (0.6373, 0.1296, 0.1674)
Sb (0.9294, 0.9236, 0.7825)
P (0.1072, 0.4238, 0.5855)
P (0.1296, 0.7185, 0.1013)
P (0.3447, 0.1756, 0.3812)
P (0.4599, 0.9104, 0.8976)
P (0.5401, 0.4104, 0.1024)
P (0.6553, 0.6756, 0.6188)
P (0.8704, 0.2185, 0.8987)
P (0.8928, 0.9238, 0.4145)
O (0.0087, 0.1549, 0.8220)
O (0.0581, 0.8446, 0.0414)
O (0.0797, 0.8460, 0.4516)
O (0.1129, 0.5081, 0.7210)
O (0.1212, 0.5013, 0.4479)
O (0.1541, 0.2593, 0.3234)
O (0.1617, 0.6359, 0.9737)
O (0.2375, 0.8918, 0.7889)
O (0.3101, 0.3500, 0.6385)
O (0.3257, 0.1086, 0.5281)
O (0.3366, 0.7320, 0.2357)
O (0.3377, 0.0804, 0.2600)
O (0.4246, 0.4518, 0.2108)
O (0.4552, 0.7438, 0.5759)
O (0.4593, 0.0106, 0.0147)
O (0.4646, 0.2915, 0.0182)
O (0.5354, 0.7915, 0.9818)
O (0.5407, 0.5106, 0.9853)
O (0.5448, 0.2438, 0.4241)
O (0.5754, 0.9518, 0.7892)
O (0.6623, 0.5804, 0.7400)
O (0.6634, 0.2320, 0.7643)
O (0.6743, 0.6086, 0.4719)
O (0.6899, 0.8500, 0.3615)
O (0.7625, 0.3918, 0.2111)
O (0.8383, 0.1359, 0.0263)
O (0.8459, 0.7593, 0.6766)
O (0.8788, 0.0013, 0.5521)
O (0.8871, 0.0081, 0.2790)
O (0.9203, 0.3460, 0.5484)
O (0.9419, 0.3446, 0.9586)
O (0.9913, 0.6549, 0.1780)

***

Computed, not measured: HfP3I after structural relaxation at the GGA-PBE level of DFT.

* E: -5.109 eV/atom
* magnetic moment: 0.000 μB per cell

Lattice parameters (Å, degrees): 5.0456 5.0456 5.0456 90.00 90.00 90.00
Fractional positions:
Hf (0.0000, 0.0000, 0.0000)
P (0.0000, 0.0000, 0.5000)
P (0.0000, 0.5000, 0.0000)
P (0.5000, 0.0000, 0.0000)
I (0.5000, 0.5000, 0.5000)

***

Computed, not measured: KZn2NiRh after structural relaxation at the GGA-PBE level of DFT.

* E: -2.501 eV/atom
* magnetic moment: 0.000 μB per cell

Lattice parameters (Å, degrees): 4.5863 4.5863 5.1413 90.00 90.00 90.00
Fractional positions:
K (0.0000, 0.0000, 0.0000)
Zn (0.0000, 0.5000, 0.5000)
Zn (0.5000, 0.0000, 0.5000)
Ni (0.0000, 0.0000, 0.5000)
Rh (0.5000, 0.5000, 0.0000)

***

Computed, not measured: CsPuF6 after structural relaxation at the GGA-PBE level of DFT.

* E: -6.480 eV/atom
* magnetic moment: 3.000 μB per cell

Lattice parameters (Å, degrees): 5.6340 5.6340 5.5302 96.57 96.57 96.17
Fractional positions:
Cs (0.0000, 0.0000, 0.0000)
Pu (0.5000, 0.5000, 0.5000)
F (0.2401, 0.5842, 0.2382)
F (0.2431, 0.2431, 0.5881)
F (0.4158, 0.7599, 0.7618)
F (0.5842, 0.2401, 0.2382)
F (0.7569, 0.7569, 0.4119)
F (0.7599, 0.4158, 0.7618)